VASP calculation (PBE+U) on PaTlWO6 after structural relaxation.

The space group is Imma (No. 74) and the conventional cell measures 7.496, 7.943 and 11.127 Å, with angles of 90.00, 90.00 and 90.00 degrees. The asymmetric unit holds Pa at (0.000, 0.000, 0.000), Tl at (0.000, 0.250, 0.324), W at (0.250, 0.250, 0.750), O at (0.000, 0.250, 0.082), O at (0.000, 0.250, 0.702) and O at (0.199, 0.076, 0.868).

Its crystal system is orthorhombic. The value obtained for the raw total energy is -7.85 eV per atom. The value obtained for the calculated density is 7.171 g/cm³.